1.
Material: ZnNi2Mo
Method: DFT, GGA-PBE
State: relaxed

a b c (Å): 2.659 2.659 7.187
angles (deg): 90.00 90.00 90.00
Space group P4/mmm (No. 123)
Unique sites:
1 Zn 0.000 0.000 0.000 [1 per cell]
2 Ni 0.500 0.500 0.240 [2 per cell]
3 Mo 0.000 0.000 0.500 [1 per cell]

Values from the calculation:
E_form ... -0.1367 eV per atom
Fermi-level density of states ... 0.93 states/eV/atom

---

2.
Material: ZnNiMo2
Method: DFT, GGA-PBE
State: relaxed

a b c (Å): 2.679 2.679 7.884
angles (deg): 90.00 90.00 90.00
Space group P4mm (No. 99)
Unique sites:
1 Zn 0.000 0.000 0.000 [1 per cell]
2 Ni 0.500 0.500 0.782 [1 per cell]
3 Mo 0.000 0.000 0.557 [1 per cell]
4 Mo 0.500 0.500 0.264 [1 per cell]

Values from the calculation:
E_form ... 0.0252 eV per atom
Fermi-level density of states ... 0.82 states/eV/atom

---

3.
Material: ZrNi2Mo
Method: DFT, GGA-PBE
State: relaxed

a b c (Å): 3.773 3.773 8.355
angles (deg): 90.00 90.00 90.00
Space group I-4m2 (No. 119)
Unique sites:
1 Zr 0.000 0.000 0.000 [2 per cell]
2 Ni 0.000 0.000 0.500 [2 per cell]
3 Ni 0.000 0.500 0.250 [2 per cell]
4 Mo 0.000 0.500 0.750 [2 per cell]

Values from the calculation:
E_form ... 0.0338 eV per atom
Fermi-level density of states ... 1.57 states/eV/atom

---

4.
Material: ZrNi2Mo
Method: DFT, GGA-PBE
State: relaxed

a b c (Å): 5.528 7.568 2.797
angles (deg): 90.00 90.17 90.00
Space group C2/m (No. 12)
Unique sites:
1 Zr 0.000 0.000 0.000 [2 per cell]
2 Ni 0.250 0.250 0.500 [4 per cell]
3 Mo 0.000 0.500 0.000 [2 per cell]

Values from the calculation:
E_form ... -0.0813 eV per atom
Fermi-level density of states ... 0.98 states/eV/atom

---

5.
Material: ZrNiMo2
Method: DFT, GGA-PBE
State: relaxed

a b c (Å): 3.312 4.235 4.615
angles (deg): 90.00 90.00 90.00
Space group Pmmm (No. 47)
Unique sites:
1 Zr 0.000 0.000 0.000 [1 per cell]
2 Ni 0.500 0.500 0.000 [1 per cell]
3 Mo 0.000 0.500 0.500 [1 per cell]
4 Mo 0.500 0.000 0.500 [1 per cell]

Values from the calculation:
E_form ... -0.0081 eV per atom
Fermi-level density of states ... 1.10 states/eV/atom

---

6.
Material: Zr2NiMo2
Method: DFT, GGA-PBE
State: relaxed

a b c (Å): 3.830 3.830 13.490
angles (deg): 90.00 90.00 90.00
Space group I4/mmm (No. 139)
Unique sites:
1 Zr 0.000 0.500 0.250 [4 per cell]
2 Ni 0.000 0.000 0.000 [2 per cell]
3 Mo 0.000 0.000 0.419 [4 per cell]

Values from the calculation:
E_form ... 1.0804 eV per atom
Fermi-level density of states ... 1.52 states/eV/atom

---

> Which of these has the highest Fermi-level density of states?

number 3

---

> Among the records above, which one has the highest Fermi-level density of states?

number 3

---

What did the first record say?
Material: ZnNi2Mo
Method: DFT, GGA-PBE
State: relaxed

a b c (Å): 2.659 2.659 7.187
angles (deg): 90.00 90.00 90.00
Space group P4/mmm (No. 123)
Unique sites:
1 Zn 0.000 0.000 0.000 [1 per cell]
2 Ni 0.500 0.500 0.240 [2 per cell]
3 Mo 0.000 0.000 0.500 [1 per cell]

Values from the calculation:
E_form ... -0.1367 eV per atom
Fermi-level density of states ... 0.93 states/eV/atom

---

> The lowest Fermi-level density of states belongs to which entry?

ZnNiMo2